[1]
Material: Cd2TeRh
Method: DFT, PBE
State: relaxed

Output
* SG: P4/mmm, No. 123
* E_form (uncorrected): -11 meV/atom
* D(E_F): 0.44 states/eV per atom

abc: 3.164 3.164 9.114
angles: 90.00 90.00 90.00
Element x y z (fractional)
Cd: 0.000 0.000 0.184
Cd: 0.000 0.000 0.816
Te: 0.500 0.500 0.500
Rh: 0.500 0.500 0.000

---

[2]
Material: BaLa2Se
Method: DFT, PBE
State: relaxed

Output
* SG: C2/m, No. 12
* E_form (uncorrected): -466 meV/atom
* D(E_F): 1.25 states/eV per atom

abc: 6.929 6.929 3.996
angles: 106.33 106.33 120.96
Element x y z (fractional)
Ba: 0.000 0.000 0.000
La: 0.000 0.500 0.500
La: 0.500 0.000 0.500
Se: 0.500 0.500 0.000

---

[3]
Material: MnCdCuPb2
Method: DFT, PBE
State: relaxed

Output
* SG: P4/mmm, No. 123
* energy relative to the elements: 0.5971 eV/atom
* D(E_F): 0.64 states/eV per atom

abc: 5.225 5.225 4.964
angles: 90.00 90.00 90.00
Element x y z (fractional)
Mn: 0.000 0.000 0.000
Cd: 0.500 0.500 0.000
Cu: 0.500 0.500 0.500
Pb: 0.000 0.500 0.500
Pb: 0.500 0.000 0.500

---

[4]
Material: Dy2GaSn3
Method: DFT, PBE
State: relaxed

Output
* SG: Cmcm, No. 63
* energy relative to the elements: -0.2365 eV/atom
* D(E_F): 0.54 states/eV per atom

abc: 7.883 7.883 5.806
angles: 90.00 90.00 70.53
Element x y z (fractional)
Dy: 0.048 0.662 0.750
Dy: 0.338 0.952 0.750
Dy: 0.662 0.048 0.250
Dy: 0.952 0.338 0.250
Ga: 0.381 0.619 0.250
Ga: 0.619 0.381 0.750
Sn: 0.084 0.916 0.250
Sn: 0.319 0.319 0.000
Sn: 0.319 0.319 0.500
Sn: 0.681 0.681 0.000
Sn: 0.681 0.681 0.500
Sn: 0.916 0.084 0.750

---

[5]
Material: Pm7Ho2Er3
Method: DFT, PBE
State: relaxed

Output
* SG: Cmmm, No. 65
* energy relative to the elements: 0.1153 eV/atom
* D(E_F): 1.57 states/eV per atom

abc: 19.228 19.228 3.620
angles: 90.00 90.00 162.76
Element x y z (fractional)
Pm: 0.000 0.000 0.000
Pm: 0.073 0.927 0.500
Pm: 0.232 0.768 0.000
Pm: 0.407 0.593 0.000
Pm: 0.593 0.407 0.000
Pm: 0.768 0.232 0.000
Pm: 0.927 0.073 0.500
Ho: 0.149 0.851 0.000
Ho: 0.851 0.149 0.000
Er: 0.315 0.685 0.500
Er: 0.500 0.500 0.500
Er: 0.685 0.315 0.500

---

[6]
Material: GaRu3Se
Method: DFT, PBE
State: relaxed

Output
* SG: Pm-3m, No. 221
* E_form (uncorrected): 905 meV/atom
* D(E_F): 0.91 states/eV per atom

abc: 4.520 4.520 4.520
angles: 90.00 90.00 90.00
Element x y z (fractional)
Ga: 0.000 0.000 0.000
Ru: 0.000 0.500 0.500
Ru: 0.500 0.000 0.500
Ru: 0.500 0.500 0.000
Se: 0.500 0.500 0.500

---

> Which of these has the lowest D(E_F)?

Cd2TeRh

---

> Which formula does entry 5 have?

Pm7Ho2Er3

---

> Which of these has the highest D(E_F)?

Pm7Ho2Er3